PmPr4Ho2Er after structural relaxation. Source: Alexandria, functional PBE.

abc: 5.157 5.186 10.132
angles: 90.00 90.00 90.00
Fractional coordinates of all 8 atoms:
Pm 0.000 0.000 0.000
Pr 0.000 0.500 0.252
Pr 0.000 0.500 0.748
Pr 0.500 0.000 0.252
Pr 0.500 0.000 0.748
Ho 0.000 0.000 0.500
Ho 0.500 0.500 0.000
Er 0.500 0.500 0.500

Summary:
E_form ... 0.015 eV/atom
Theoretical density ... 7.39 g/cm³
Uncorrected energy ... -4.683 eV per atom
Spin magnetization ... 0.00 μB per cell
Calculated volume ... 270.9 Å³ per cell
Density of states at the Fermi level ... 1.323 states/eV/atom